1.
ScAlRe2: optimized geometry, PBE.

Properties
Space-group type: P4mm
Energy relative to the elements (meV per atom): -232

a = 3.045 Å, b = 3.045 Å, c = 7.175 Å
α = 90.00°, β = 90.00°, γ = 90.00°
Fractional coordinates of all 4 atoms:
Sc (0.000, 0.000, 0.490)
Re (0.000, 0.000, 0.007)
Re (0.500, 0.500, 0.216)
Al (0.500, 0.500, 0.787)

=====

2.
Tb2Pr5Er12: optimized geometry, PBE.

Properties
Space-group type: P-1
Energy relative to the elements (meV per atom): 64
Energy above the most stable polymorph in this dataset (meV/atom): 0

a = 6.284 Å, b = 9.037 Å, c = 13.873 Å
α = 127.85°, β = 94.71°, γ = 92.26°
Fractional coordinates of all 19 atoms:
Tb (0.544, 0.840, 0.846)
Tb (0.456, 0.160, 0.154)
Pr (0.272, 0.506, 0.558)
Pr (0.123, 0.668, 0.155)
Pr (0.000, 0.000, 0.500)
Pr (0.877, 0.332, 0.845)
Pr (0.728, 0.494, 0.442)
Er (0.986, 0.109, 0.267)
Er (0.074, 0.788, 0.951)
Er (0.601, 0.731, 0.055)
Er (0.185, 0.545, 0.339)
Er (0.646, 0.606, 0.248)
Er (0.502, 0.938, 0.614)
Er (0.498, 0.062, 0.386)
Er (0.815, 0.455, 0.661)
Er (0.354, 0.394, 0.752)
Er (0.926, 0.212, 0.049)
Er (0.399, 0.269, 0.945)
Er (0.014, 0.891, 0.733)

=====

3.
AsSe2SN: optimized geometry, PBE.

Properties
Space-group type: P4/mmm
Energy relative to the elements, uncorrected (eV per atom): 0.977
Energy above the most stable polymorph in this dataset (meV/atom): 0

a = 5.092 Å, b = 5.092 Å, c = 3.393 Å
α = 90.00°, β = 90.00°, γ = 90.00°
Fractional coordinates of all 5 atoms:
As (0.500, 0.500, 0.500)
S (0.000, 0.000, 0.000)
Se (0.000, 0.500, 0.000)
Se (0.500, 0.000, 0.000)
N (0.000, 0.000, 0.500)

=====

4.
Dy3U2Se6: optimized geometry, PBE.

Properties
Space-group type: R-3m
Energy relative to the elements, uncorrected (eV per atom): -1.453

a = 4.070 Å, b = 4.070 Å, c = 20.372 Å
α = 84.27°, β = 84.27°, γ = 60.00°
Fractional coordinates of all 11 atoms:
Dy (0.000, 0.000, 0.000)
Dy (0.278, 0.278, 0.166)
Dy (0.722, 0.722, 0.834)
U (0.444, 0.444, 0.668)
U (0.556, 0.556, 0.332)
Se (0.082, 0.082, 0.753)
Se (0.918, 0.918, 0.247)
Se (0.197, 0.197, 0.409)
Se (0.803, 0.803, 0.591)
Se (0.361, 0.361, 0.918)
Se (0.639, 0.639, 0.082)

=====

5.
CsRbAu2: optimized geometry, PBE.

Properties
Space-group type: P4/mmm
Energy relative to the elements (meV per atom): -300
Energy above the most stable polymorph in this dataset (meV/atom): 13

a = 4.270 Å, b = 4.270 Å, c = 8.516 Å
α = 90.00°, β = 90.00°, γ = 90.00°
Fractional coordinates of all 4 atoms:
Cs (0.500, 0.500, 0.500)
Au (0.000, 0.000, 0.764)
Au (0.000, 0.000, 0.236)
Rb (0.500, 0.500, 0.000)

=====

6.
CuTe2Pd6: optimized geometry, PBE.

Properties
Space-group type: P-3m1
Energy relative to the elements, uncorrected (eV per atom): -0.046

a = 4.096 Å, b = 6.780 Å, c = 6.780 Å
α = 60.01°, β = 89.99°, γ = 89.99°
Fractional coordinates of all 9 atoms:
Cu (0.000, 0.000, 0.000)
Te (0.778, 0.667, 0.667)
Te (0.222, 0.333, 0.333)
Pd (0.278, 0.377, 0.812)
Pd (0.278, 0.812, 0.812)
Pd (0.278, 0.812, 0.377)
Pd (0.722, 0.623, 0.188)
Pd (0.722, 0.188, 0.188)
Pd (0.722, 0.188, 0.623)

=====

Number 1: magnetization 0.000 μB per formula unit. Number 2: magnetization 0.000 μB per formula unit. Number 3: magnetization 0.070 μB per formula unit. Number 4: magnetization 5.310 μB per formula unit. Number 5: magnetization 0.000 μB per formula unit. Number 6: magnetization 0.000 μB per formula unit.